Computed, not measured: TmPaGaOs after structural relaxation at the PBE level of DFT.

* total DFT energy (no corrections): -7.303 eV/atom
* energy of formation from the pure elements: -247 meV per atom

Lattice parameters (Å, degrees): 6.959 6.959 6.959 90.00 90.00 90.00
Space group F-43m (No. 216)
Inequivalent atoms, fractional coordinates:
Tm 0.000 0.000 0.000
Pa 0.000 0.000 0.500
Ga 0.250 0.250 0.250
Os 0.250 0.250 0.750

Computed, not measured: UPaGaOs after structural relaxation at the PBE level of DFT.

* total DFT energy (no corrections): -8.765 eV/atom
* energy of formation from the pure elements: -5 meV per atom

Lattice parameters (Å, degrees): 6.768 6.768 6.768 90.00 90.00 90.00
Space group F-43m (No. 216)
Inequivalent atoms, fractional coordinates:
U 0.000 0.000 0.000
Pa 0.250 0.250 0.250
Ga 0.250 0.250 0.750
Os 0.000 0.000 0.500

Computed, not measured: YPaGaOs after structural relaxation at the PBE level of DFT.

* total DFT energy (no corrections): -7.751 eV/atom
* energy of formation from the pure elements: -197 meV per atom

Lattice parameters (Å, degrees): 7.007 7.007 7.007 90.00 90.00 90.00
Space group F-43m (No. 216)
Inequivalent atoms, fractional coordinates:
Y 0.000 0.000 0.000
Pa 0.000 0.000 0.500
Ga 0.250 0.250 0.750
Os 0.250 0.250 0.250

Computed, not measured: PaZnGaOs after structural relaxation at the PBE level of DFT.

* total DFT energy (no corrections): -6.317 eV/atom
* energy of formation from the pure elements: -61 meV per atom

Lattice parameters (Å, degrees): 6.635 6.635 6.635 90.00 90.00 90.00
Space group F-43m (No. 216)
Inequivalent atoms, fractional coordinates:
Pa 0.000 0.000 0.000
Zn 0.250 0.250 0.750
Ga 0.000 0.000 0.500
Os 0.250 0.250 0.250